# 1
Here is an optimized crystal structure of KMnP2 from Alexandria. Energies are from PBE.

Calculated values
As for the calculated density: 2.60 g/cm3. For the energy of formation from the pure elements, the calculation gives -0.323 eV per atom. The calculation puts the energy above the most stable polymorph in this dataset at 0.00 eV per formula unit. Its total moment is 0.000 μB/atom.

Lattice parameters (Å, degrees): 5.747 5.747 7.270 66.72 66.72 90.00
Fractional positions:
P: 0.875 0.125 0.250
P: 0.875 0.625 0.250
P: 0.375 0.125 0.750
P: 0.875 0.125 0.750
K: 0.500 0.500 0.000
K: 0.250 0.750 0.500
Mn: 0.000 0.000 0.000
Mn: 0.750 0.250 0.500

***

# 2
Here is an optimized crystal structure of K2MnP from Alexandria. Energies are from PBE.

Calculated values
As for the calculated density: 1.41 g/cm3. For the energy of formation from the pure elements, the calculation gives 0.062 eV per atom. Its total moment is 1.020 μB/atom.

Lattice parameters (Å, degrees): 5.042 8.751 8.765 30.04 90.00 90.00
Last column: magnetic moment on the atom in μB.
Fractional positions:
K: 0.000 0.871 0.863  0.00
K: 0.000 0.629 0.637  0.00
Mn: 0.500 0.250 0.250  3.80
P: 0.500 0.750 0.750  -0.06

***

# 3
Here is an optimized crystal structure of KMnP2 from Alexandria. Energies are from PBE.

Calculated values
As for the calculated density: 3.30 g/cm3. For the energy of formation from the pure elements, the calculation gives 0.628 eV per atom. The calculation puts the energy above the most stable polymorph in this dataset at 3.80 eV per formula unit. Its total moment is 0.944 μB/atom.

Lattice parameters (Å, degrees): 5.519 5.519 5.519 136.55 136.55 63.13
Last column: magnetic moment on the atom in μB.
Fractional positions:
K: 0.500 0.500 0.000  -0.01
Mn: 0.750 0.250 0.500  4.02
P: 0.000 0.000 0.000  -0.16
P: 0.250 0.750 0.500  -0.09

***

# 4
Here is an optimized crystal structure of KMnP2 from Alexandria. Energies are from PBE.

Calculated values
As for the calculated density: 3.01 g/cm3. For the energy of formation from the pure elements, the calculation gives 0.334 eV per atom. The calculation puts the energy above the most stable polymorph in this dataset at 2.63 eV per formula unit. Its total moment is 1.119 μB/atom.

Lattice parameters (Å, degrees): 5.858 5.858 5.858 148.58 123.85 65.77
Last column: magnetic moment on the atom in μB.
Fractional positions:
K: 0.511 0.511 0.000  0.01
Mn: 0.191 0.691 0.500  4.05
P: 0.980 0.980 0.000  0.02
P: 0.818 0.318 0.500  0.01

***

# 5
Here is an optimized crystal structure of KMnP from Alexandria. Energies are from PBE.

Calculated values
As for the calculated density: 2.67 g/cm3. For the energy of formation from the pure elements, the calculation gives -0.123 eV per atom. Its total moment is 1.399 μB/atom.

Lattice parameters (Å, degrees): 4.097 4.097 5.347 90.00 90.00 120.00
Last column: magnetic moment on the atom in μB.
Fractional positions:
K: 0.000 0.000 0.000  0.01
Mn: 0.667 0.333 0.500  3.72
P: 0.333 0.667 0.500  -0.06

***

# 6
Here is an optimized crystal structure of KMnP from Alexandria. Energies are from PBE.

Calculated values
As for the calculated density: 3.02 g/cm3. For the energy of formation from the pure elements, the calculation gives -0.001 eV per atom. Its total moment is 1.099 μB/atom.

Lattice parameters (Å, degrees): 6.529 6.529 3.362 75.08 75.08 29.83
Last column: magnetic moment on the atom in μB.
Fractional positions:
K: 0.006 0.006 0.994  -0.02
Mn: 0.268 0.268 0.732  3.26
P: 0.726 0.726 0.274  -0.06

***

# 7
Here is an optimized crystal structure of KMnP2 from Alexandria. Energies are from PBE.

Calculated values
As for the calculated density: 3.12 g/cm3. For the energy of formation from the pure elements, the calculation gives -0.247 eV per atom. The calculation puts the energy above the most stable polymorph in this dataset at 0.30 eV per formula unit. Its total moment is 0.707 μB/atom.

Lattice parameters (Å, degrees): 7.147 7.147 7.147 30.43 30.43 30.43
Last column: magnetic moment on the atom in μB.
Fractional positions:
K: 0.250 0.250 0.250  0.00
Mn: 0.750 0.750 0.750  2.86
P: 0.034 0.034 0.034  -0.08
P: 0.466 0.466 0.466  -0.08

***

# 8
Here is an optimized crystal structure of KMnP2 from Alexandria. Energies are from PBE.

Calculated values
As for the calculated density: 4.04 g/cm3. For the energy of formation from the pure elements, the calculation gives -0.145 eV per atom. The calculation puts the energy above the most stable polymorph in this dataset at 0.71 eV per formula unit. Its total moment is 0.000 μB/atom.

Lattice parameters (Å, degrees): 2.864 2.863 8.324 69.87 90.00 90.00
Fractional positions:
K: 0.500 0.250 0.250
Mn: 0.500 0.750 0.750
P: 0.000 0.077 0.924
P: 0.000 0.423 0.576